Density functional theory data (GGA+U) for CsFeNiF6 after structural relaxation.

The structure in POSCAR format:
```
CsFeNiF6
1.0
5.375 0.003 0.000
2.691 4.659 0.000
-0.007 -0.015 6.530
Cs Fe Ni F
1 1 1 6
direct
0.000 0.000 0.000
0.334 0.333 0.500
0.666 0.667 0.500
0.010 0.378 0.331
0.379 0.011 0.670
0.611 0.380 0.670
0.010 0.612 0.669
0.380 0.610 0.330
0.611 0.009 0.330
```

Its crystal system is monoclinic. The space group is C2, No. 5. The excess energy over the best structure of this formula in the dataset is 0.0000 eV/atom. The density of states at the Fermi level comes out at 0.00 states/eV/cell.